# 1
! Mn2InPb (PBE, optimized geometry); values from VASP
! Polymorph energy (0 for the lowest one): 117 meV/atom
! Mass density: 8.8 Mg/m³
! Energy of formation from the pure elements: 0.3927 eV/atom
! Uncorrected energy: -23.2 eV per cell
! N(E_F): 3.0 states/eV/f.u.
&SYSTEM
  ibrav = 0, nat = 4, ntyp = 3
/
ATOMIC_SPECIES
Mn 54.94 Mn.upf
In 114.82 In.upf
Pb 207.20 Pb.upf
CELL_PARAMETERS angstrom
3.2615 0.0000 0.0000
0.0000 3.7984 0.0000
0.0000 0.0000 6.5619
ATOMIC_POSITIONS angstrom
Mn 0.0000 0.0000 0.0000
Mn 1.6308 1.8992 1.2535
In 1.6308 1.8992 5.0834
Pb 0.0000 0.0000 2.9000



# 2
! Ba4SrIr (PBE, optimized geometry); values from VASP
! Polymorph energy (0 for the lowest one): 0 meV/atom
! Mass density: 4.3 Mg/m³
! Energy of formation from the pure elements: -0.1015 eV/atom
! Uncorrected energy: -37.7 eV per cell
! N(E_F): 6.3 states/eV/f.u.
&SYSTEM
  ibrav = 0, nat = 12, ntyp = 3
/
ATOMIC_SPECIES
Ba 137.33 Ba.upf
Sr 87.62 Sr.upf
Ir 192.22 Ir.upf
CELL_PARAMETERS angstrom
9.9107 -3.8815 0.0000
9.9107 3.8815 0.0000
-2.4425 0.0000 8.2638
ATOMIC_POSITIONS angstrom
Ba 0.9887 0.7458 3.7091
Ba -0.2326 -0.7458 7.8410
Ba 3.8810 0.5707 6.9456
Ba 5.1023 -0.5707 2.8137
Ba 12.2766 0.5707 5.4500
Ba 13.4979 -0.5707 1.3182
Ba 17.6115 0.7458 0.4228
Ba 16.3903 -0.7458 4.5547
Sr 9.3001 0.6976 2.0659
Sr 8.0788 -0.6976 6.1978
Ir 3.7341 1.9408 4.1319
Ir 4.9554 -1.9408 0.0000



# 3
! ScTcP2Au (PBE, optimized geometry); values from VASP
! Mass density: 6.3 Mg/m³
! Energy of formation from the pure elements: 0.0991 eV/atom
! Uncorrected energy: -30.3 eV per cell
! N(E_F): 2.3 states/eV/f.u.
&SYSTEM
  ibrav = 0, nat = 5, ntyp = 4
/
ATOMIC_SPECIES
Sc 44.96 Sc.upf
Tc 98.00 Tc.upf
P 30.97 P.upf
Au 196.97 Au.upf
CELL_PARAMETERS angstrom
4.4941 0.0000 0.0000
0.0000 4.4941 0.0000
0.0000 0.0000 5.2369
ATOMIC_POSITIONS angstrom
Sc 0.0000 0.0000 0.0000
Tc 0.0000 0.0000 2.6184
P 0.0000 2.2471 2.6184
P 2.2471 0.0000 2.6184
Au 2.2471 2.2471 0.0000



# 4
! Y3Co3Si8 (PBE, optimized geometry); values from VASP
! Polymorph energy (0 for the lowest one): 28 meV/atom
! Mass density: 5.1 Mg/m³
! Formation energy from raw total energies: -0.521 eV/atom
! Uncorrected energy: -91.4 eV per cell
! N(E_F): 7.2 states/eV/f.u.
&SYSTEM
  ibrav = 0, nat = 14, ntyp = 3
/
ATOMIC_SPECIES
Y 88.91 Y.upf
Co 58.93 Co.upf
Si 28.09 Si.upf
CELL_PARAMETERS angstrom
-2.0181 4.7400 5.6658
2.0181 -4.7400 5.6658
2.0181 4.7400 -5.6658
ATOMIC_POSITIONS angstrom
Y 0.0000 0.0000 0.0000
Y 0.0000 0.0000 3.5863
Y 0.0000 0.0000 7.7453
Co 2.0181 2.5889 0.0000
Co 0.0000 4.7400 0.0000
Co 0.0000 2.1510 5.6658
Si 2.0181 -1.2804 1.8576
Si 2.0181 -1.9609 4.3572
Si 2.0181 1.2804 1.8576
Si 0.0000 2.7790 1.3086
Si 2.0181 1.9609 4.3572
Si 0.0000 3.4596 3.8082
Si 0.0000 6.7009 1.3086
Si 0.0000 6.0203 3.8082



# 5
! RbBePS2 (PBE, optimized geometry); values from VASP
! Polymorph energy (0 for the lowest one): 0 meV/atom
! Mass density: 3.1 Mg/m³
! Formation energy from raw total energies: 0.105 eV/atom
! Uncorrected energy: -17.8 eV per cell
! N(E_F): 3.1 states/eV/f.u.
&SYSTEM
  ibrav = 0, nat = 5, ntyp = 4
/
ATOMIC_SPECIES
Rb 85.47 Rb.upf
Be 9.01 Be.upf
P 30.97 P.upf
S 32.06 S.upf
CELL_PARAMETERS angstrom
4.8407 0.0000 0.0000
0.0000 4.8407 0.0000
0.0000 0.0000 4.2824
ATOMIC_POSITIONS angstrom
Rb 0.0000 0.0000 0.0000
Be 2.4204 2.4204 2.1412
P 2.4204 2.4204 0.0000
S 0.0000 2.4204 2.1412
S 2.4204 0.0000 2.1412



# 6
! KRbSr2Cu (PBE, optimized geometry); values from VASP
! Mass density: 2.3 Mg/m³
! Energy of formation from the pure elements: 0.1302 eV/atom
! Uncorrected energy: -8.9 eV per cell
! N(E_F): 4.5 states/eV/f.u.
&SYSTEM
  ibrav = 0, nat = 5, ntyp = 4
/
ATOMIC_SPECIES
K 39.10 K.upf
Rb 85.47 Rb.upf
Sr 87.62 Sr.upf
Cu 63.55 Cu.upf
CELL_PARAMETERS angstrom
6.1821 0.0000 0.0000
0.0000 6.1821 0.0000
0.0000 0.0000 6.9087
ATOMIC_POSITIONS angstrom
K 0.0000 0.0000 0.0000
Rb 3.0911 3.0911 0.0000
Sr 0.0000 3.0911 3.4544
Sr 3.0911 0.0000 3.4544
Cu 0.0000 0.0000 3.4544



# 7
! NaTmTlCd (PBE, optimized geometry); values from VASP
! Polymorph energy (0 for the lowest one): 0 meV/atom
! Mass density: 8.0 Mg/m³
! Energy of formation from the pure elements: -0.1755 eV/atom
! Uncorrected energy: -9.8 eV per cell
! N(E_F): 2.0 states/eV/f.u.
&SYSTEM
  ibrav = 0, nat = 4, ntyp = 4
/
ATOMIC_SPECIES
Na 22.99 Na.upf
Tm 168.93 Tm.upf
Tl 204.38 Tl.upf
Cd 112.41 Cd.upf
CELL_PARAMETERS angstrom
3.7376 0.0000 0.0000
0.0000 3.7376 0.0000
0.0000 0.0000 7.5357
ATOMIC_POSITIONS angstrom
Na 0.0000 0.0000 0.0000
Tm 0.0000 0.0000 3.8311
Tl 1.8688 1.8688 1.9370
Cd 1.8688 1.8688 5.6366



# 8
! Pr2NdEr3 (PBE, optimized geometry); values from VASP
! Polymorph energy (0 for the lowest one): 105 meV/atom
! Mass density: 7.6 Mg/m³
! Energy of formation from the pure elements: 0.2068 eV/atom
! Uncorrected energy: -53.5 eV per cell
! N(E_F): 9.1 states/eV/f.u.
&SYSTEM
  ibrav = 0, nat = 12, ntyp = 3
/
ATOMIC_SPECIES
Pr 140.91 Pr.upf
Nd 144.24 Nd.upf
Er 167.26 Er.upf
CELL_PARAMETERS angstrom
4.7696 -6.6215 0.0000
4.7696 6.6215 0.0000
0.0000 0.0000 6.4316
ATOMIC_POSITIONS angstrom
Pr 1.7113 0.7772 0.0000
Pr 1.7113 -0.7772 3.2158
Pr 7.8278 0.7772 0.0000
Pr 7.8278 -0.7772 3.2158
Nd 4.7696 2.2874 1.7751
Nd 4.7696 -2.2874 4.9909
Er 3.0321 4.0349 6.1752
Er 6.5070 4.0349 6.1752
Er 4.7696 1.1181 4.8403
Er 4.7696 -1.1181 1.6245
Er 3.0321 -4.0349 2.9593
Er 6.5070 -4.0349 2.9593



# 9
! Ta2TlIn (PBE, optimized geometry); values from VASP
! Polymorph energy (0 for the lowest one): 102 meV/atom
! Mass density: 13.9 Mg/m³
! Energy of formation from the pure elements: 0.4267 eV/atom
! Uncorrected energy: -27.1 eV per cell
! N(E_F): 3.3 states/eV/f.u.
&SYSTEM
  ibrav = 0, nat = 4, ntyp = 3
/
ATOMIC_SPECIES
Ta 180.95 Ta.upf
Tl 204.38 Tl.upf
In 114.82 In.upf
CELL_PARAMETERS angstrom
1.5385 0.8882 9.9460
-1.5385 0.8882 9.9460
0.0000 -1.7765 9.9460
ATOMIC_POSITIONS angstrom
Ta 0.0000 0.0000 7.4444
Ta 0.0000 0.0000 22.3934
Tl 0.0000 0.0000 0.0000
In 0.0000 0.0000 14.9189



# 10
! SrHgP2 (PBE, optimized geometry); values from VASP
! Mass density: 6.4 Mg/m³
! Energy of formation from the pure elements: -0.1598 eV/atom
! Uncorrected energy: -13.4 eV per cell
! N(E_F): 0.5 states/eV/f.u.
&SYSTEM
  ibrav = 0, nat = 4, ntyp = 3
/
ATOMIC_SPECIES
Sr 87.62 Sr.upf
Hg 200.59 Hg.upf
P 30.97 P.upf
CELL_PARAMETERS angstrom
3.5456 0.0000 0.0000
0.0000 3.5456 0.0000
0.0000 0.0000 7.2011
ATOMIC_POSITIONS angstrom
Sr 0.0000 0.0000 0.0000
Hg 1.7728 1.7728 2.2525
P 0.0000 0.0000 4.3514
P 1.7728 1.7728 5.0270



# 11
! Cs2TbCd2Se4 (PBE, optimized geometry); values from VASP
! Mass density: 5.4 Mg/m³
! Formation energy from raw total energies: -1.110 eV/atom
! Uncorrected energy: -32.1 eV per cell
! N(E_F): 3.4 states/eV/f.u.
&SYSTEM
  ibrav = 0, nat = 9, ntyp = 4
/
ATOMIC_SPECIES
Cs 132.91 Cs.upf
Tb 158.93 Tb.upf
Cd 112.41 Cd.upf
Se 78.96 Se.upf
CELL_PARAMETERS angstrom
8.5316 -2.1292 0.0000
8.5316 2.1292 0.0000
-3.3789 0.0000 8.1702
ATOMIC_POSITIONS angstrom
Cs 1.9644 0.0000 0.5105
Cs 11.7199 0.0000 7.6596
Tb -1.6895 0.0000 4.0851
Cd 3.7161 0.0000 3.9757
Cd 9.9683 0.0000 4.1945
Se 0.7136 0.0000 5.7716
Se 5.7253 0.0000 5.7863
Se 7.9591 0.0000 2.3839
Se 12.9707 0.0000 2.3985



# 12
! RuSe2O (PBE, optimized geometry); values from VASP
! Mass density: 5.9 Mg/m³
! Formation energy from raw total energies: 0.158 eV/atom
! Uncorrected energy: -41.1 eV per cell
! N(E_F): 1.1 states/eV/f.u.
&SYSTEM
  ibrav = 0, nat = 8, ntyp = 3
/
ATOMIC_SPECIES
Ru 101.07 Ru.upf
Se 78.96 Se.upf
O 16.00 O.upf
CELL_PARAMETERS angstrom
-2.6993 2.6993 5.3276
2.6993 -2.6993 5.3276
2.6993 2.6993 -5.3276
ATOMIC_POSITIONS angstrom
Ru 0.0000 0.0000 0.0000
Ru 0.0000 2.6993 2.6638
Se 1.3497 -1.2993 3.9957
Se 1.4000 1.3497 1.3319
Se 1.3497 3.9986 -1.3319
Se 1.2993 1.3497 6.6595
O 2.6993 0.0000 2.6638
O 0.0000 0.0000 5.3276